This record from OQMD describes an optimized crystal structure of NiGeIr2. The functional is PBE.

Volume   56.3 Å³/cell
Electronic total energy   -27.16 eV for the cell shown
Space group   No. 216

```
NiGeIr2
1.0
0.000 3.041 3.041
3.041 0.000 3.041
3.041 3.041 0.000
Ge Ir Ni
1 2 1
Direct
0.500 0.500 0.500 Ge
0.000 0.000 0.000 Ir
0.750 0.750 0.750 Ir
0.250 0.250 0.250 Ni
```


This record from OQMD describes an optimized crystal structure of NiGe2Ir. The functional is PBE.

Volume   120.3 Å³/cell
Electronic total energy   -50.02 eV for the cell shown
Space group   No. 11

```
NiGe2Ir
1.0
-3.196 -0.142 4.283
2.888 -0.487 2.139
0.584 6.148 0.610
Ge Ir Ni
4 2 2
Direct
0.688 0.250 0.090 Ge
0.197 0.250 0.422 Ge
0.803 0.750 0.578 Ge
0.312 0.750 0.910 Ge
0.999 0.750 0.201 Ir
0.001 0.250 0.799 Ir
0.494 0.750 0.294 Ni
0.506 0.250 0.706 Ni
```


This record from OQMD describes an optimized crystal structure of Ni2GeIr. The functional is PBE.

Volume   50.6 Å³/cell
Electronic total energy   -25.20 eV for the cell shown
Space group   No. 216

```
Ni2GeIr
1.0
0.000 2.936 2.936
2.936 0.000 2.936
2.936 2.936 0.000
Ge Ir Ni
1 1 2
Direct
0.500 0.500 0.500 Ge
0.250 0.250 0.250 Ir
0.000 0.000 0.000 Ni
0.750 0.750 0.750 Ni
```


This record from OQMD describes an optimized crystal structure of NiGe4Ir3. The functional is PBE.

Volume   123.7 Å³/cell
Electronic total energy   -53.30 eV for the cell shown
Space group   No. 6

```
NiGe4Ir3
1.0
-0.627 5.316 1.437
-2.676 0.307 -2.304
-4.065 -1.711 4.492
Ge Ir Ni
4 3 1
Direct
0.807 0.500 0.077 Ge
0.311 0.500 0.417 Ge
0.691 0.000 0.576 Ge
0.191 0.000 0.930 Ge
0.002 0.000 0.297 Ir
0.998 0.500 0.701 Ir
0.496 0.500 0.798 Ir
0.503 0.000 0.205 Ni
```